No. 1
Material: Li2ZrAu2
Method: DFT, PBE
State: optimized geometry

Summary:
Fermi-level density of states ... 3.12 states/eV/f.u.
Relative energy among the computed polymorphs ... 0.73 eV per formula unit
Crystal system ... tetragonal

Unit cell a=7.300 b=7.300 c=3.390 alpha=90.00 beta=90.00 gamma=90.00
Space group P4/mbm (No. 127)
One atom of each set of equivalent atoms:
1 Li 0.153 0.347 0.000 [4 per cell]
2 Zr 0.000 0.000 0.500 [2 per cell]
3 Au 0.141 0.641 0.500 [4 per cell]

***

No. 2
Material: LiZrAu4
Method: DFT, PBE
State: optimized geometry

Summary:
Fermi-level density of states ... 4.22 states/eV/f.u.
Relative energy among the computed polymorphs ... 1.75 eV per formula unit
Crystal system ... cubic

Unit cell a=7.745 b=7.745 c=7.745 alpha=90.00 beta=90.00 gamma=90.00
Space group F-43m (No. 216)
One atom of each set of equivalent atoms:
1 Li 0.000 0.000 0.000 [4 per cell]
2 Zr 0.250 0.250 0.750 [4 per cell]
3 Au 0.125 0.125 0.375 [16 per cell]

***

Which value of Fermi-level density of states does entry 2 give?
4.22 states/eV/f.u.